# PmYEr2Tm, optimized geometry, DFT PBE-GGA
# Total moment: 0.017 μB/cell
# ΔE_f: 0.37 eV/atom
data_PmYEr2Tm
_chemical_formula_sum 'Pm4 Y4 Er8 Tm4'
_cell_length_a 8.317
_cell_length_b 11.428
_cell_length_c 7.170
_cell_angle_alpha 90.00
_cell_angle_beta 90.00
_cell_angle_gamma 90.00
_symmetry_space_group_name_H-M 'C m c m'
_symmetry_Int_Tables_number 63
_symmetry_space_group_name_Hall '-C 2c 2'
loop_
_atom_site_label
_atom_site_fract_x
_atom_site_fract_y
_atom_site_fract_z
_atom_site_occupancy
Pm1 0.000 0.222 0.250 1
Y1 0.000 0.230 0.750 1
Er1 0.191 0.000 0.000 1
Tm1 0.000 0.491 0.250 1